A relaxed Ca2NiRu crystal. Source: Alexandria via LeMat-Bulk, functional PBE.

a b c (Å): 5.4726 5.4726 5.4726
angles (deg): 135.50 135.50 64.75
Each line ends with the local moment (μB).
Fractional coordinates of all 4 atoms:
1 Ru 0.7500 0.2500 0.5000  0.28
2 Ca 0.0000 0.0000 0.0000  -0.01
3 Ca 0.2500 0.7500 0.5000  -0.01
4 Ni 0.5000 0.5000 0.0000  0.14

As for the formation energy: 397 meV/atom. The total energy is -17.47 eV per cell. As for the crystal system: tetragonal. The density of states at the Fermi level is 1.373 states/eV/atom.